! PBE-GGA Tm8CuRh2, relaxed; values from VASP
&SYSTEM
  ibrav = 0, nat = 11, ntyp = 3
/
ATOMIC_SPECIES
Tm 168.93 Tm.upf
Rh 102.91 Rh.upf
Cu 63.55 Cu.upf
CELL_PARAMETERS angstrom
5.714 0.092 -0.937
-1.852 6.684 -2.803
-0.056 -0.098 7.480
ATOMIC_POSITIONS crystal
Tm 0.381 0.666 0.928
Tm 0.803 0.638 0.638
Tm 0.582 0.081 0.342
Tm 0.989 0.779 0.223
Tm 0.582 0.342 0.081
Rh 0.485 0.317 0.693
Tm 0.172 0.367 0.367
Tm 0.989 0.223 0.779
Tm 0.381 0.928 0.666
Rh 0.485 0.693 0.317
Cu 0.149 0.002 0.002
! space group	Cm
! spin magnetization	0.000	μB/f.u.
! formation enthalpy at 0 K	-322	meV/atom
! V	284.9	Å³/cell


! PBE-GGA Tm5CuRh4, relaxed; values from VASP
&SYSTEM
  ibrav = 0, nat = 10, ntyp = 3
/
ATOMIC_SPECIES
Tm 168.93 Tm.upf
Rh 102.91 Rh.upf
Cu 63.55 Cu.upf
CELL_PARAMETERS angstrom
-2.304 1.290 2.098
-2.184 0.257 -2.556
-5.782 -15.780 3.354
ATOMIC_POSITIONS crystal
Tm 0.500 0.500 0.699
Rh 0.000 0.000 0.201
Rh 0.000 0.000 0.401
Rh 0.000 0.000 0.599
Tm 0.500 0.500 0.301
Cu 0.000 0.000 0.000
Tm 0.500 0.500 0.103
Tm 0.500 0.500 0.500
Tm 0.500 0.500 0.897
Rh 0.000 0.000 0.799
! space group	P4/mmm
! spin magnetization	0.000	μB/f.u.
! formation enthalpy at 0 K	-832	meV/atom
! V	194.9	Å³/cell


! PBE-GGA Tm2Cu2Rh, relaxed; values from VASP
&SYSTEM
  ibrav = 0, nat = 5, ntyp = 3
/
ATOMIC_SPECIES
Tm 168.93 Tm.upf
Cu 63.55 Cu.upf
Rh 102.91 Rh.upf
CELL_PARAMETERS angstrom
4.873 0.400 3.171
1.981 4.470 3.171
0.900 0.640 5.285
ATOMIC_POSITIONS crystal
Tm 0.756 0.756 0.764
Cu 0.611 0.611 0.504
Cu 0.389 0.389 0.496
Tm 0.244 0.244 0.236
Rh 0.000 0.000 0.000
! space group	C2/m
! spin magnetization	0.000	μB/f.u.
! formation enthalpy at 0 K	-383	meV/atom
! V	93.4	Å³/cell


! PBE-GGA Tm6CuRh, relaxed; values from VASP
&SYSTEM
  ibrav = 0, nat = 8, ntyp = 3
/
ATOMIC_SPECIES
Tm 168.93 Tm.upf
Rh 102.91 Rh.upf
Cu 63.55 Cu.upf
CELL_PARAMETERS angstrom
6.568 0.413 0.000
2.011 6.272 0.000
1.006 3.136 5.518
ATOMIC_POSITIONS crystal
Tm 0.251 0.569 0.361
Tm 0.747 0.747 0.000
Tm 0.251 0.930 0.639
Rh 0.500 0.500 0.000
Tm 0.749 0.070 0.361
Tm 0.749 0.431 0.639
Tm 0.253 0.253 0.000
Cu 0.000 0.000 0.000
! space group	C2/m
! spin magnetization	0.000	μB/f.u.
! formation enthalpy at 0 K	-166	meV/atom
! V	222.7	Å³/cell


! PBE-GGA TmCuRh4, relaxed; values from VASP
&SYSTEM
  ibrav = 0, nat = 6, ntyp = 3
/
ATOMIC_SPECIES
Cu 63.55 Cu.upf
Rh 102.91 Rh.upf
Tm 168.93 Tm.upf
CELL_PARAMETERS angstrom
-4.168 -2.321 -2.044
0.189 -5.030 -1.263
-2.662 -3.477 2.786
ATOMIC_POSITIONS crystal
Cu 0.000 0.000 0.000
Rh 0.625 0.124 0.625
Rh 0.124 0.625 0.625
Tm 0.250 0.250 0.250
Rh 0.625 0.625 0.625
Rh 0.625 0.625 0.124
! space group	F-43m
! spin magnetization	0.117	μB/f.u.
! formation enthalpy at 0 K	-269	meV/atom
! V	98.9	Å³/cell


! PBE-GGA Tm4CuRh3, relaxed; values from VASP
&SYSTEM
  ibrav = 0, nat = 8, ntyp = 3
/
ATOMIC_SPECIES
Tm 168.93 Tm.upf
Cu 63.55 Cu.upf
Rh 102.91 Rh.upf
CELL_PARAMETERS angstrom
-2.567 -0.074 2.126
-1.157 -4.426 -1.552
5.736 -3.880 6.791
ATOMIC_POSITIONS crystal
Tm 0.000 0.000 0.000
Tm 0.000 0.500 0.253
Cu 0.500 0.500 0.000
Rh 0.500 0.500 0.500
Tm 0.000 0.000 0.500
Rh 0.500 0.000 0.748
Tm 0.000 0.500 0.747
Rh 0.500 0.000 0.252
! space group	Pmmm
! spin magnetization	0.000	μB/f.u.
! formation enthalpy at 0 K	-796	meV/atom
! V	156.2	Å³/cell


! PBE-GGA Tm6Cu2Rh, relaxed; values from VASP
&SYSTEM
  ibrav = 0, nat = 18, ntyp = 3
/
ATOMIC_SPECIES
Tm 168.93 Tm.upf
Cu 63.55 Cu.upf
Rh 102.91 Rh.upf
CELL_PARAMETERS angstrom
-3.741 -7.197 -0.977
0.060 3.819 -7.222
7.637 -1.148 2.666
ATOMIC_POSITIONS crystal
Tm 0.813 0.739 0.552
Tm 0.568 0.744 0.824
Cu 0.354 0.000 0.354
Tm 0.706 0.032 0.326
Tm 0.432 0.256 0.176
Tm 0.813 0.261 0.074
Tm 0.294 0.968 0.674
Cu 0.500 0.623 0.123
Tm 0.187 0.261 0.448
Rh 0.000 0.000 0.000
Tm 0.080 0.256 0.824
Tm 0.706 0.380 0.674
Tm 0.294 0.620 0.326
Cu 0.646 0.000 0.646
Rh 0.000 0.500 0.500
Cu 0.500 0.377 0.877
Tm 0.920 0.744 0.176
Tm 0.187 0.739 0.926
! space group	Immm
! spin magnetization	0.000	μB/f.u.
! formation enthalpy at 0 K	-339	meV/atom
! V	419.6	Å³/cell


! PBE-GGA Tm3CuRh, relaxed; values from VASP
&SYSTEM
  ibrav = 0, nat = 10, ntyp = 3
/
ATOMIC_SPECIES
Tm 168.93 Tm.upf
Rh 102.91 Rh.upf
Cu 63.55 Cu.upf
CELL_PARAMETERS angstrom
5.048 -0.256 2.488
1.620 4.788 2.488
0.213 0.144 9.251
ATOMIC_POSITIONS crystal
Tm 0.272 0.272 0.283
Rh 0.245 0.755 0.000
Tm 0.092 0.092 0.696
Cu 0.698 0.302 0.500
Cu 0.302 0.698 0.500
Rh 0.755 0.245 0.000
Tm 0.728 0.728 0.717
Tm 0.683 0.683 0.127
Tm 0.908 0.908 0.304
Tm 0.317 0.317 0.873
! space group	C2/m
! polymorph energy (0 for the lowest one)	0.0	kJ per mole of atoms
! spin magnetization	0.000	μB/f.u.
! formation enthalpy at 0 K	-481	meV/atom
! V	223.5	Å³/cell


! PBE-GGA YTmCuRh, relaxed; values from VASP
&SYSTEM
  ibrav = 0, nat = 4, ntyp = 4
/
ATOMIC_SPECIES
Rh 102.91 Rh.upf
Cu 63.55 Cu.upf
Y 88.91 Y.upf
Tm 168.93 Tm.upf
CELL_PARAMETERS angstrom
-0.470 -4.833 -0.161
2.565 -2.585 -3.216
3.634 -2.846 1.516
ATOMIC_POSITIONS crystal
Rh 0.500 0.500 0.500
Cu 0.000 0.000 0.000
Y 0.750 0.750 0.750
Tm 0.250 0.250 0.250
! space group	F-43m
! polymorph energy (0 for the lowest one)	1.5	kJ per mole of atoms
! spin magnetization	0.000	μB/f.u.
! formation enthalpy at 0 K	-583	meV/atom
! V	81.1	Å³/cell


! PBE-GGA YTmCuRh, relaxed; values from VASP
&SYSTEM
  ibrav = 0, nat = 4, ntyp = 4
/
ATOMIC_SPECIES
Rh 102.91 Rh.upf
Cu 63.55 Cu.upf
Y 88.91 Y.upf
Tm 168.93 Tm.upf
CELL_PARAMETERS angstrom
3.755 0.000 0.000
0.000 4.338 0.000
-1.877 0.000 5.191
ATOMIC_POSITIONS crystal
Rh 0.419 0.000 0.838
Cu 0.575 0.500 0.150
Y 0.142 0.000 0.284
Tm 0.864 0.500 0.727
! space group	Amm2
! polymorph energy (0 for the lowest one)	0.0	kJ per mole of atoms
! spin magnetization	0.000	μB/f.u.
! formation enthalpy at 0 K	-598	meV/atom
! V	84.5	Å³/cell


! PBE-GGA Tm2Zn5Cu2Rh, relaxed; values from VASP
&SYSTEM
  ibrav = 0, nat = 20, ntyp = 4
/
ATOMIC_SPECIES
Zn 65.41 Zn.upf
Cu 63.55 Cu.upf
Rh 102.91 Rh.upf
Tm 168.93 Tm.upf
CELL_PARAMETERS angstrom
4.004 0.000 0.000
0.000 9.107 0.000
0.000 0.000 9.107
ATOMIC_POSITIONS crystal
Zn 0.500 0.299 0.550
Cu 0.000 0.611 0.889
Rh 0.000 0.000 0.000
Zn 0.500 0.550 0.701
Tm 0.000 0.316 0.816
Cu 0.000 0.111 0.611
Zn 0.500 0.050 0.799
Zn 0.500 0.201 0.050
Rh 0.000 0.500 0.500
Zn 0.500 0.450 0.299
Tm 0.000 0.184 0.316
Cu 0.000 0.389 0.111
Zn 0.500 0.000 0.500
Zn 0.500 0.799 0.950
Tm 0.000 0.684 0.184
Cu 0.000 0.889 0.389
Zn 0.500 0.500 0.000
Zn 0.500 0.950 0.201
Zn 0.500 0.701 0.450
Tm 0.000 0.816 0.684
! space group	P4/mbm
! spin magnetization	0.000	μB/f.u.
! formation enthalpy at 0 K	-290	meV/atom
! V	332.1	Å³/cell


! PBE-GGA Tm2ZnCu2Rh5, relaxed; values from VASP
&SYSTEM
  ibrav = 0, nat = 20, ntyp = 4
/
ATOMIC_SPECIES
Rh 102.91 Rh.upf
Zn 65.41 Zn.upf
Tm 168.93 Tm.upf
Cu 63.55 Cu.upf
CELL_PARAMETERS angstrom
-0.099 2.171 3.123
7.047 -4.732 3.513
5.889 5.876 -3.899
ATOMIC_POSITIONS crystal
Rh 0.500 0.799 0.931
Rh 0.500 0.000 0.500
Rh 0.500 0.299 0.569
Zn 0.000 0.000 0.000
Zn 0.000 0.500 0.500
Tm 0.000 0.674 0.174
Cu 0.000 0.624 0.876
Cu 0.000 0.376 0.124
Rh 0.500 0.431 0.299
Cu 0.000 0.876 0.376
Rh 0.500 0.500 0.000
Tm 0.000 0.326 0.826
Rh 0.500 0.931 0.201
Rh 0.500 0.701 0.431
Rh 0.500 0.069 0.799
Rh 0.500 0.201 0.069
Tm 0.000 0.174 0.326
Rh 0.500 0.569 0.701
Cu 0.000 0.124 0.624
Tm 0.000 0.826 0.674
! space group	P4/mbm
! spin magnetization	0.000	μB/f.u.
! formation enthalpy at 0 K	-457	meV/atom
! V	321.1	Å³/cell


Number 1: DOS at the Fermi energy 11.345 states/eV per cell. Number 2: DOS at the Fermi energy 6.909 states/eV per cell. Number 3: DOS at the Fermi energy 2.384 states/eV per cell. Number 4: DOS at the Fermi energy 9.881 states/eV per cell. Number 5: DOS at the Fermi energy 9.449 states/eV per cell. Number 6: DOS at the Fermi energy 5.049 states/eV per cell. Number 7: DOS at the Fermi energy 13.866 states/eV per cell. Number 8: DOS at the Fermi energy 7.716 states/eV per cell. Number 9: DOS at the Fermi energy 3.769 states/eV per cell. Number 10: DOS at the Fermi energy 2.889 states/eV per cell. Number 11: DOS at the Fermi energy 11.776 states/eV per cell. Number 12: DOS at the Fermi energy 22.988 states/eV per cell.